Computed, not measured: a relaxed structure of Cr2CoOs at the GGA-PBE level of DFT.

Calculated values
**Total magnetic moment**: 0.00 μB/atom
**Formation enthalpy at 0 K**: 0.10 eV per atom

Structure (POSCAR):
```
Cr2CoOs
1.0
4.441 0.003 0.000
-1.458 4.195 0.000
0.000 0.000 2.619
Co Cr Os
1 2 1
Cartesian
-0.729 2.097 1.309
0.000 0.000 0.000
1.491 2.099 0.000
2.221 0.002 1.309
```